# 1
Sc7Al3 (GGA-PBE, optimized geometry); uncorrected energy = -5.86 eV per atom
1.0
-2.079 4.209 -0.532
-5.503 -2.791 -0.581
2.826 -0.266 7.827
Al Sc
3 7
Direct
0.000 0.000 0.000
0.802 0.302 0.604
0.198 0.698 0.396
0.611 0.362 0.223
0.613 0.860 0.226
0.199 0.200 0.398
0.000 0.500 0.000
0.389 0.638 0.777
0.387 0.140 0.774
0.801 0.800 0.602


# 2
Sc2AlSe (GGA-PBE, optimized geometry); ΔE_f (raw) = -0.07 eV per atom; uncorrected energy = -5.04 eV per atom
1.0
-4.461 -1.048 1.627
-0.578 -1.997 4.396
-1.943 2.605 3.618
Al Sc Se
1 2 1
Direct
0.500 0.500 0.500
0.000 0.000 0.000
0.750 0.750 0.750
0.250 0.250 0.250


# 3
ScAlSe (GGA-PBE, optimized geometry); ΔE_f (raw) = -0.43 eV per atom; uncorrected energy = -4.95 eV per atom
1.0
4.531 0.000 0.000
-2.266 3.924 0.000
0.000 0.000 3.398
Sc Se Al
1 1 1
Direct
0.667 0.333 0.334
0.333 0.667 0.833
0.000 0.000 0.833


# 4
Sc2Al2Se (GGA-PBE, optimized geometry); ΔE_f (raw) = -0.40 eV per atom; uncorrected energy = -5.13 eV per atom
1.0
-2.601 5.710 -3.373
0.573 -3.416 -6.225
-3.731 -1.436 0.445
Se Sc Al
2 4 4
Direct
0.500 0.500 0.000
0.000 0.000 0.000
0.168 0.668 0.500
0.332 0.168 0.500
0.832 0.332 0.500
0.668 0.832 0.500
0.128 0.372 0.000
0.372 0.872 0.000
0.628 0.128 0.000
0.872 0.628 0.000


# 5
ScAl2Se (GGA-PBE, optimized geometry); ΔE_f (raw) = -0.22 eV per atom; uncorrected energy = -4.55 eV per atom
1.0
-3.815 3.384 -6.650
-6.290 1.423 -5.351
-5.739 4.543 -4.079
Al Se Sc
2 1 1
Direct
0.490 0.490 0.490
0.010 0.010 0.010
0.750 0.750 0.750
0.250 0.250 0.250


# 6
ScAl2Se (GGA-PBE, optimized geometry); ΔE_f (raw) = -0.46 eV per atom; uncorrected energy = -4.79 eV per atom
1.0
-4.312 -3.726 1.684
2.264 0.290 -5.487
0.904 -3.567 -1.168
Al Sc Se
2 1 1
Direct
0.500 0.500 0.000
0.000 0.000 0.000
0.500 0.000 0.500
0.000 0.500 0.500


# 7
ScAl2Se (GGA-PBE, optimized geometry); ΔE_f (raw) = -0.51 eV per atom; uncorrected energy = -4.83 eV per atom
1.0
3.747 0.000 0.000
0.000 3.644 0.014
0.000 3.623 6.082
Se Al Sc
1 2 1
Direct
0.500 0.839 0.661
0.000 0.941 0.059
0.500 0.269 0.231
0.000 0.451 0.549


# 8
ScAl2Se (GGA-PBE, optimized geometry); ΔE_f (raw) = -0.32 eV per atom; uncorrected energy = -4.65 eV per atom
1.0
-3.557 -0.653 3.286
4.388 0.359 2.119
-0.401 3.436 0.249
Al Sc Se
2 1 1
Direct
0.000 0.000 0.000
0.500 0.500 0.000
0.500 0.000 0.500
0.000 0.500 0.500


Ordered V results: 21.5 20.3 20.1 20.4 20.6 20.1 20.7 19.2; unit Å³ per atom.